## Sr2Ca6Fe3Co5O24 (PBE with a Hubbard U)

Data for a relaxed Sr2Ca6Fe3Co5O24 crystal.

Structure (CIF):
```
data_Sr2Ca6Fe3Co5O24
_symmetry_space_group_name_H-M 'A m m 2'
_symmetry_Int_Tables_number 38
_cell_length_a 7.653
_cell_length_b 10.865
_cell_length_c 10.837
_cell_angle_alpha 90.00
_cell_angle_beta 90.00
_cell_angle_gamma 90.00
loop_
_symmetry_equiv_pos_as_xyz
'x,y,z'
'-x,-y,z'
'-x,y,z'
'x,-y,z'
'x,y+1/2,z+1/2'
'-x,-y+1/2,z+1/2'
'-x,y+1/2,z+1/2'
'x,-y+1/2,z+1/2'
loop_
_atom_site_label
_atom_site_type_symbol
_atom_site_fract_x
_atom_site_fract_y
_atom_site_fract_z
Sr1 Sr 0.247 0.000 0.000
Ca1 Ca 0.241 0.000 0.495
Ca2 Ca 0.243 0.246 0.250
Fe1 Fe 0.500 0.000 0.250
Fe2 Fe 0.500 0.248 0.500
Co1 Co 0.000 0.000 0.250
Co2 Co 0.000 0.000 0.748
Co3 Co 0.000 0.248 0.499
Co4 Co 0.500 0.000 0.748
O1 O 0.000 0.122 0.376
O2 O 0.000 0.128 0.618
O3 O 0.000 0.130 0.130
O4 O 0.000 0.134 0.877
O5 O 0.233 0.000 0.747
O6 O 0.240 0.000 0.252
O7 O 0.249 0.246 0.499
O8 O 0.500 0.121 0.629
O9 O 0.500 0.123 0.374
O10 O 0.500 0.123 0.868
O11 O 0.500 0.126 0.128
```

calculated total energy	-489.556	eV/cell
total magnetization	56.476	Bohr magnetons per cell
mass density	4.7	g/cm³